4
Lattice="-1.1194 -2.2689 2.6016 3.2562 -1.6021 0.0037 2.0925 4.2635 4.6186" Properties=species:S:1:pos:R:3 comment="Sc2InAg PBE optimized geometry" energy_ev_per_atom=-4.761 rho_g_cm3=5.95 e_form_ev_per_atom=-0.198 pbc="T T T"
In 2.6288 1.2439 4.7470
Sc 1.6236 -0.8043 2.5281
Sc 2.0753 4.2285 4.5807
Ag 1.0402 2.1195 2.2960